No. 1
VASP calculation (GGA-PBE) on MgCr2Pb after structural relaxation.

Calculated values
Calculated formation energy ... 63 kJ/mol of atoms
Uncorrected energy ... -5.48 eV/atom

extended XYZ file:
```
4
Lattice="4.757 0.000 0.000 0.000 3.039 -0.131 0.000 0.061 5.230" Properties=species:S:1:pos:R:3 pbc="T T T"
Mg 2.379 0.775 1.275
Cr 0.000 1.776 2.052
Cr 0.000 2.814 0.365
Pb 2.379 2.326 3.824
```



No. 2
VASP calculation (GGA-PBE) on ReTe2SeI after structural relaxation.

Calculated values
Raw formation energy ... 0.7572 eV per atom
Uncorrected energy ... -4.00 eV/atom

extended XYZ file:
```
5
Lattice="5.171 0.000 0.000 0.000 5.171 0.000 0.000 0.000 5.484" Properties=species:S:1:pos:R:3 pbc="T T T"
I 0.000 0.000 2.742
Se 2.586 2.586 2.742
Te 0.000 2.586 0.000
Te 2.586 0.000 0.000
Re 0.000 0.000 0.000
```



No. 3
VASP calculation (GGA-PBE) on La2TbTmAs4 after structural relaxation.

Calculated values
Calculated formation energy ... -148 kJ/mol of atoms
Uncorrected energy ... -6.23 eV/atom

extended XYZ file:
```
8
Lattice="4.244 0.000 0.000 0.000 7.333 -0.141 0.000 2.584 6.876" Properties=species:S:1:pos:R:3 pbc="T T T"
Tm 0.000 4.958 3.367
As 4.244 2.574 1.665
As 0.000 7.342 5.070
As 2.122 3.865 5.071
As 2.122 6.052 1.664
La 0.000 2.584 6.876
La 2.122 1.292 3.438
Tb 2.122 3.666 -0.071
```



No. 4
VASP calculation (GGA-PBE) on ZrBiPb after structural relaxation.

Calculated values
Calculated formation energy ... -17 kJ/mol of atoms
Uncorrected energy ... -5.56 eV/atom

extended XYZ file:
```
12
Lattice="-1.207 2.980 6.595 -3.641 -4.732 1.472 5.789 -3.617 2.693" Properties=species:S:1:pos:R:3 pbc="T T T"
Bi 0.464 0.483 2.703
Bi 3.594 -1.906 2.764
Bi 0.477 -5.851 8.058
Bi -2.652 -3.462 7.996
Zr 1.388 -1.493 5.010
Zr -0.446 -3.876 5.751
Zr -2.737 -3.557 1.107
Zr -2.110 1.806 6.960
Pb -1.561 -0.996 5.781
Pb -0.243 -2.933 2.817
Pb 2.503 -4.373 4.979
Pb 1.185 -2.436 7.943
```



No. 5
VASP calculation (GGA-PBE) on BeCO after structural relaxation.

Calculated values
Raw formation energy ... -1.2761 eV per atom
Uncorrected energy ... -7.25 eV/atom

extended XYZ file:
```
6
Lattice="2.563 -0.002 0.000 -0.023 4.637 0.002 0.000 -0.097 4.687" Properties=species:S:1:pos:R:3 pbc="T T T"
C 1.273 0.879 3.776
C 2.513 1.497 3.872
O 2.527 2.988 4.085
O 1.236 3.471 1.763
Be 1.248 3.775 3.325
Be 2.518 3.380 1.003
```



No. 6
VASP calculation (GGA-PBE) on ZrTcPCl2 after structural relaxation.

Calculated values
Raw formation energy ... 0.3466 eV per atom
Uncorrected energy ... -5.26 eV/atom

extended XYZ file:
```
5
Lattice="4.661 0.000 0.000 0.000 4.661 0.000 0.000 0.000 4.707" Properties=species:S:1:pos:R:3 pbc="T T T"
Zr 2.331 2.331 2.353
Tc 0.000 0.000 0.000
P 0.000 0.000 2.353
Cl 2.331 0.000 0.000
Cl 0.000 2.331 0.000
```



No. 7
VASP calculation (GGA-PBE) on Nb2CuB2Ru5 after structural relaxation.

Calculated values
Calculated formation energy ... -31 kJ/mol of atoms
Uncorrected energy ... -8.72 eV/atom

extended XYZ file:
```
20
Lattice="-1.618 -1.946 -1.629 5.714 1.275 -7.197 5.344 -6.961 3.010" Properties=species:S:1:pos:R:3 pbc="T T T"
Nb 4.814 -0.369 -4.339
Nb 6.244 -5.317 0.152
Nb 8.321 -3.663 -3.886
Nb 2.737 -2.023 -0.301
B 6.997 -1.491 -5.166
B 8.248 -5.289 -1.871
B 2.811 -0.397 -2.316
B 4.061 -4.195 0.979
Ru 2.048 -0.335 -4.413
Ru 3.164 -2.415 -3.036
Ru 3.800 -6.350 1.033
Ru 1.863 -4.454 0.690
Ru 0.800 -1.200 -2.141
Ru 5.641 -1.282 -6.849
Ru 6.276 -5.217 -2.780
Ru 8.641 -6.432 -3.675
Ru 3.879 -4.589 -1.149
Ru 5.561 -3.043 -4.667
Cu 0.000 0.000 0.000
Cu 5.529 -2.843 -2.093
```



No. 8
VASP calculation (GGA-PBE) on Be2AgW after structural relaxation.

Calculated values
Calculated formation energy ... 47 kJ/mol of atoms
Uncorrected energy ... -5.32 eV/atom

extended XYZ file:
```
4
Lattice="-3.261 1.921 0.050 -3.126 0.336 -2.109 -2.978 -3.854 2.643" Properties=species:S:1:pos:R:3 pbc="T T T"
Be -4.668 -0.770 0.272
Be -6.402 2.228 -2.039
W -7.024 -1.198 0.438
Ag -2.341 -0.399 0.146
```



No. 9
VASP calculation (GGA-PBE) on Mg2GaPt3 after structural relaxation.

Calculated values
Calculated formation energy ... -75 kJ/mol of atoms
Uncorrected energy ... -4.83 eV/atom

extended XYZ file:
```
6
Lattice="4.584 -0.038 2.084 1.327 4.388 2.084 -0.051 -0.038 5.035" Properties=species:S:1:pos:R:3 pbc="T T T"
Pt 0.663 2.194 1.042
Pt 2.292 -0.019 1.042
Pt -0.026 -0.019 2.518
Ga 0.000 0.000 0.000
Mg 2.196 1.616 3.448
Mg 3.664 2.697 5.754
```



No. 10
VASP calculation (GGA-PBE) on YVTcW2 after structural relaxation.

Calculated values
Calculated formation energy ... 108 kJ/mol of atoms
Uncorrected energy ... -9.25 eV/atom

extended XYZ file:
```
5
Lattice="4.842 0.000 0.000 0.000 4.503 0.000 0.000 0.000 4.842" Properties=species:S:1:pos:R:3 pbc="T T T"
W 0.000 0.000 2.421
W 2.421 0.000 0.000
V 0.000 2.252 0.000
Y 2.421 2.252 2.421
Tc 0.000 0.000 0.000
```



No. 11
VASP calculation (GGA-PBE) on RePtSe2 after structural relaxation.

Calculated values
Raw formation energy ... 0.1391 eV per atom
Uncorrected energy ... -6.23 eV/atom

extended XYZ file:
```
4
Lattice="-9.234 2.285 2.557 -9.688 -0.629 1.666 -8.744 -0.025 4.536" Properties=species:S:1:pos:R:3 pbc="T T T"
Re -20.788 1.225 6.582
Se -0.727 0.043 0.230
Se -6.280 0.370 1.988
Pt -13.704 0.808 4.339
```



No. 12
VASP calculation (GGA-PBE) on NdZn2Pt after structural relaxation.

Calculated values
Calculated formation energy ... -56 kJ/mol of atoms
Uncorrected energy ... -3.92 eV/atom

extended XYZ file:
```
4
Lattice="4.341 0.000 0.000 2.170 3.759 0.000 2.170 1.253 4.981" Properties=species:S:1:pos:R:3 pbc="T T T"
Zn 2.170 1.253 1.807
Zn 6.511 3.759 3.175
Nd 0.000 0.000 0.000
Pt 4.341 2.506 2.491
```



No. 13
VASP calculation (GGA-PBE) on SiAg2P after structural relaxation.

Calculated values
Raw formation energy ... 0.3872 eV per atom
Uncorrected energy ... -3.75 eV/atom

extended XYZ file:
```
4
Lattice="-0.425 2.339 -1.683 -4.428 1.379 3.034 -0.470 3.188 4.547" Properties=species:S:1:pos:R:3 pbc="T T T"
P -2.662 3.453 2.949
Si -0.235 1.594 2.274
Ag 0.000 0.000 0.000
Ag -2.427 1.859 0.675
```



No. 14
VASP calculation (GGA-PBE) on TaRe2Ru2 after structural relaxation.

Calculated values
Calculated formation energy ... 7 kJ/mol of atoms
Uncorrected energy ... -10.98 eV/atom

extended XYZ file:
```
10
Lattice="-6.268 1.303 3.940 3.102 -3.272 6.016 1.018 2.451 0.808" Properties=species:S:1:pos:R:3 pbc="T T T"
Re 0.404 -1.076 2.754
Re -3.522 0.411 3.189
Re 0.355 -2.379 6.768
Re -3.571 -0.892 7.203
Ru -3.661 1.234 5.631
Ru -1.005 1.086 2.733
Ru -1.144 -0.603 8.031
Ru 1.512 -0.751 5.134
Ta 0.000 0.000 0.000
Ta -1.583 -0.984 4.978
```



No. 15
VASP calculation (GGA-PBE) on YHo3 after structural relaxation.

Calculated values
Calculated formation energy ... 14 kJ/mol of atoms
Uncorrected energy ... -4.91 eV/atom

extended XYZ file:
```
4
Lattice="-0.143 5.570 0.940 -1.334 3.540 -4.197 -4.948 2.727 0.070" Properties=species:S:1:pos:R:3 pbc="T T T"
Ho -4.819 8.878 -2.390
Ho -1.606 2.959 -0.797
Ho 0.000 0.000 0.000
Y -3.213 5.919 -1.593
```



No. 16
VASP calculation (GGA-PBE) on MnHg2Ir after structural relaxation.

Calculated values
Calculated formation energy ... 45 kJ/mol of atoms
Uncorrected energy ... -4.19 eV/atom

extended XYZ file:
```
4
Lattice="9.277 -0.025 -0.015 8.795 2.952 -0.015 8.795 1.424 2.586" Properties=species:S:1:pos:R:3 pbc="T T T"
Hg 0.013 0.002 0.001
Hg 13.421 2.174 1.277
Ir 6.717 1.088 0.639
Mn 20.150 3.264 1.917
```



No. 17
VASP calculation (GGA-PBE) on NiMo2Br after structural relaxation.

Calculated values
Raw formation energy ... 0.7750 eV per atom
Uncorrected energy ... -6.50 eV/atom

extended XYZ file:
```
4
Lattice="5.360 0.002 -0.003 2.694 4.634 0.003 -3.572 -3.109 2.512" Properties=species:S:1:pos:R:3 pbc="T T T"
Br 1.575 1.922 1.257
Ni 2.908 -0.394 1.254
Mo 0.082 0.047 0.000
Mo 3.946 2.271 0.000
```



No. 18
VASP calculation (GGA-PBE) on BaLi2Si2 after structural relaxation.

Calculated values
Raw formation energy ... -0.0179 eV per atom
Uncorrected energy ... -3.34 eV/atom

extended XYZ file:
```
10
Lattice="-0.448 -4.234 -0.611 7.511 -1.138 2.387 -2.511 -0.819 7.512" Properties=species:S:1:pos:R:3 pbc="T T T"
Si 2.750 -0.537 1.708
Si 5.754 -1.352 5.150
Si 2.250 -1.420 8.191
Si -0.754 -0.606 4.749
Li 0.414 -3.268 7.199
Li 4.138 -2.924 2.089
Li 4.815 -3.627 6.459
Li -0.263 -2.566 2.828
Ba 0.000 0.000 0.000
Ba 2.500 -0.979 4.949
```